Below is a relaxed structure of Cs3BiBr6, with properties calculated at the GGA-PBEsol level.

Unit cell a=8.6857 b=8.6857 c=8.6857 alpha=60.00 beta=60.00 gamma=60.00
Atoms (fractional coordinates):
Cs (0.0000, 0.0000, 0.0000)
Cs (0.2500, 0.2500, 0.2500)
Cs (0.7500, 0.7500, 0.7500)
Bi (0.5000, 0.5000, 0.5000)
Br (0.2696, 0.2696, 0.7304)
Br (0.2696, 0.7304, 0.2696)
Br (0.2696, 0.7304, 0.7304)
Br (0.7304, 0.2696, 0.2696)
Br (0.7304, 0.2696, 0.7304)
Br (0.7304, 0.7304, 0.2696)

Output
The value obtained for the calculated total energy is -31.718 eV per cell. The calculation puts the calculated volume at 46.3 Å³/atom. As for the symmetry: Fm-3m. The density is 3896 kg/m3. As for the uncorrected formation energy: -1.34 eV/atom.